Computed, not measured: crystalline Cs3RbMg2Br9 at its relaxed geometry at the PBE level of DFT.

## Properties
- Formation energy without anion corrections: -1.493 eV per atom
- M_tot: 0.00 μB per cell

Lattice parameters (Å, degrees): 7.8115 7.8115 11.1737 90.00 90.00 120.00
Closest atoms and distances in Å follow each position.
Space group P-3m1 (No. 164)
Inequivalent atoms, fractional coordinates:
Cs: 0.0000 0.0000 0.0000  12 Br 3.91-3.92
Cs: 0.3333 0.6667 0.7308  9 Br 3.76-3.91
Rb: 0.0000 0.0000 0.5000  6 Br 3.38
Mg: 0.3333 0.6667 0.1498  6 Br 2.62-2.81
Br: 0.0000 0.5000 0.0000  2 Mg 2.81
Br: 0.1731 0.3462 0.2817  1 Mg 2.62